Here is crystalline Pr7TlIn3 at its relaxed geometry from Alexandria. Energies are from GGA-PBE. Values from VASP.

The structure in Quantum ESPRESSO input format:
```
&SYSTEM
  ibrav = 0, nat = 11, ntyp = 3
/
ATOMIC_SPECIES
Tl 204.38 Tl.upf
Pr 140.91 Pr.upf
In 114.82 In.upf
ATOMIC_POSITIONS crystal
Tl 0.500 0.500 0.500
Pr 0.670 0.401 0.938
In 0.000 0.235 0.765
Pr 0.670 0.938 0.401
Pr 0.330 0.599 0.062
Pr 0.177 0.177 0.177
In 0.000 0.765 0.235
Pr 0.823 0.823 0.823
Pr 0.330 0.062 0.599
Pr 0.000 0.500 0.500
In 0.500 0.000 0.000
CELL_PARAMETERS angstrom
6.034 -0.068 -0.087
-2.920 7.832 0.276
-2.920 -1.631 7.665
```

Results
ΔE_f = -0.220 eV/atom
SG = Immm

Here is crystalline CuTe4Pd2 at its relaxed geometry from Alexandria. Energies are from GGA-PBE. Values from VASP.

The structure in Quantum ESPRESSO input format:
```
&SYSTEM
  ibrav = 0, nat = 7, ntyp = 3
/
ATOMIC_SPECIES
Cu 63.55 Cu.upf
Pd 106.42 Pd.upf
Te 127.60 Te.upf
ATOMIC_POSITIONS crystal
Cu 0.000 0.000 0.000
Pd 0.250 0.243 0.503
Te 0.877 0.224 0.761
Te 0.123 0.776 0.239
Te 0.374 0.705 0.749
Pd 0.750 0.757 0.497
Te 0.626 0.295 0.251
CELL_PARAMETERS angstrom
-0.190 3.906 1.529
-4.924 -2.122 4.844
6.491 -2.038 0.320
```

Results
energy above the most stable polymorph in this dataset = 0 meV per atom
SG = P-1
E_form (uncorrected) = -0.2429 eV/atom

Here is crystalline CdSbPCl2 at its relaxed geometry from Alexandria. Energies are from GGA-PBE. Values from VASP.

The structure in Quantum ESPRESSO input format:
```
&SYSTEM
  ibrav = 0, nat = 5, ntyp = 4
/
ATOMIC_SPECIES
Cl 35.45 Cl.upf
Sb 121.76 Sb.upf
P 30.97 P.upf
Cd 112.41 Cd.upf
ATOMIC_POSITIONS crystal
Cl 0.500 0.000 0.000
Sb 0.500 0.500 0.500
P 0.000 0.000 0.500
Cd 0.000 0.000 0.000
Cl 0.000 0.500 0.000
CELL_PARAMETERS angstrom
-0.825 -3.222 -3.673
-0.949 -3.548 3.326
-5.209 1.366 -0.029
```

Results
energy above the most stable polymorph in this dataset = 169 meV per atom
SG = P4/mmm
E_form (uncorrected) = 0.2439 eV/atom

Quick rundown of V, same order as above: 361, 164, 132 Å³/cell